Entry 1:
# NaPu2Cl6 (PBE, relaxed)
# Uncorrected formation energy   -1.887 eV per atom
# E above lowest polymorph   0.00 eV/f.u.
# Crystal system   tetragonal
# Calculated volume   30.836 Å³/atom
data_NaPu2Cl6
_space_group_name_H-M_alt 'P 42/m n m'
_space_group_IT_number 136
_space_group_name_Hall '-P 4n 2n'
_cell_length_a 6.590
_cell_length_b 6.590
_cell_length_c 12.780
_cell_angle_alpha 90.00
_cell_angle_beta 90.00
_cell_angle_gamma 90.00
loop_
_atom_site_label
_atom_site_type_symbol
_atom_site_fract_x
_atom_site_fract_y
_atom_site_fract_z
_atom_site_occupancy
Na1 Na 0.000 0.000 0.000 1
Pu1 Pu 0.000 0.000 0.333 1
Cl1 Cl 0.193 0.193 0.500 1
Cl2 Cl 0.200 0.200 0.170 1


Entry 2:
# NaPuCl2 (PBE, relaxed)
# Uncorrected formation energy   -1.290 eV per atom
# Crystal system   trigonal
# Calculated volume   29.439 Å³/atom
data_NaPuCl2
_space_group_name_H-M_alt 'R -3 m'
_space_group_IT_number 166
_space_group_name_Hall '-R 3 2"'
_cell_length_a 3.7548
_cell_length_b 3.7548
_cell_length_c 28.9331
_cell_angle_alpha 90.00
_cell_angle_beta 90.00
_cell_angle_gamma 120.00
loop_
_atom_site_label
_atom_site_type_symbol
_atom_site_fract_x
_atom_site_fract_y
_atom_site_fract_z
_atom_site_occupancy
Na1 Na 0.0000 0.0000 0.0000 1
Pu1 Pu 0.0000 0.0000 0.5000 1
Cl1 Cl 0.0000 0.0000 0.1021 1


Entry 3:
# Na3Pu5Cl16 (PBE, relaxed)
# Uncorrected formation energy   -1.868 eV per atom
# Crystal system   monoclinic
# Calculated volume   32.551 Å³/atom
data_Na3Pu5Cl16
_space_group_name_H-M_alt 'C 1 m 1'
_space_group_IT_number 8
_space_group_name_Hall 'C -2y'
_cell_length_a 14.599
_cell_length_b 8.331
_cell_length_c 12.848
_cell_angle_alpha 90.00
_cell_angle_beta 90.75
_cell_angle_gamma 90.00
loop_
_atom_site_label
_atom_site_type_symbol
_atom_site_fract_x
_atom_site_fract_y
_atom_site_fract_z
_atom_site_occupancy
Na1 Na 0.000 0.000 0.000 1
Na2 Na 0.416 0.248 0.505 1
Pu1 Pu 0.157 0.000 0.724 1
Pu2 Pu 0.165 0.500 0.503 1
Pu3 Pu 0.247 0.248 0.001 1
Pu4 Pu 0.488 0.000 0.239 1
Cl1 Cl 0.007 0.500 0.612 1
Cl2 Cl 0.078 0.283 0.367 1
Cl3 Cl 0.095 0.223 0.871 1
Cl4 Cl 0.160 0.500 0.108 1
Cl5 Cl 0.171 0.000 0.115 1
Cl6 Cl 0.242 0.247 0.619 1
Cl7 Cl 0.310 0.000 0.872 1
Cl8 Cl 0.326 0.500 0.402 1
Cl9 Cl 0.327 0.500 0.893 1
Cl10 Cl 0.350 0.000 0.370 1
Cl11 Cl 0.417 0.241 0.106 1
Cl12 Cl 0.499 0.500 0.620 1


Entry 4:
# RbNaPuCl6 (PBE, relaxed)
# Uncorrected formation energy   -1.818 eV per atom
# Crystal system   trigonal
# Calculated volume   35.421 Å³/atom
data_RbNaPuCl6
_space_group_name_H-M_alt 'P -3 1 c'
_space_group_IT_number 163
_space_group_name_Hall '-P 3 2c'
_cell_length_a 7.1800
_cell_length_b 7.1800
_cell_length_c 14.2808
_cell_angle_alpha 90.00
_cell_angle_beta 90.00
_cell_angle_gamma 120.00
loop_
_atom_site_label
_atom_site_type_symbol
_atom_site_fract_x
_atom_site_fract_y
_atom_site_fract_z
_atom_site_occupancy
Rb1 Rb 0.0000 0.0000 0.0000 1
Na1 Na 0.3333 0.6667 0.2500 1
Pu1 Pu 0.3333 0.6667 0.7500 1
Cl1 Cl 0.0261 0.3802 0.6451 1